Material: Sm2MnB2Ru5
Method: DFT, GGA-PBE
State: relaxed

The value obtained for the formation energy is -263 meV per atom. Its crystal system is tetragonal. For the density of states at the Fermi level, the calculation gives 0.72 states/eV per atom.

The structure belongs to space group P4/mbm (No. 127); the cell edges are 9.660, 9.660 and 3.118 Å and the angles 90.00°, 90.00° and 90.00°. Symmetry generates all atoms from Sm at (0.176, 0.324, 0.000), Mn at (0.000, 0.000, 0.000), B at (0.122, 0.622, 0.000), Ru at (0.000, 0.500, 0.500) and Ru at (0.069, 0.783, 0.500).